Entry 1:
Compound: Cs5Tl4Pb2
Source: Alexandria
Functional: PBE
Structure: optimized geometry

Cell lengths 13.695, 7.695, 11.290 Å; angles 90.00, 116.85, 90.00 degrees
Space group C2/m (No. 12)
Unique sites:
Cs  0.000  0.000  0.000
Cs  0.079  0.251  0.364
Tl  0.186  0.500  0.969
Tl  0.195  0.500  0.706
Pb  0.205  0.000  0.741

Computed properties:
N(E_F) = 10.613 states/eV/cell
E_tot = -1.9029 eV per atom

***

Entry 2:
Compound: TbCeSm2Te5
Source: Alexandria
Functional: PBE
Structure: optimized geometry

Cell lengths 5.561, 5.561, 11.912 Å; angles 90.00, 90.00, 90.00 degrees
Space group P4/mmm (No. 123)
Unique sites:
Tb  0.000  0.000  0.000
Ce  0.000  0.000  0.500
Sm  0.500  0.500  0.151
Te  0.000  0.000  0.248
Te  0.000  0.500  0.000
Te  0.500  0.500  0.500

Computed properties:
N(E_F) = 12.201 states/eV/cell
E_tot = -4.7325 eV per atom
energy relative to the elements, uncorrected = -0.765 eV per atom

***

Entry 3:
Compound: Mg2CoOs
Source: Alexandria
Functional: PBE
Structure: optimized geometry

Cell lengths 7.015, 7.015, 5.228 Å; angles 90.00, 90.00, 90.00 degrees
Space group I-42d (No. 122)
Unique sites:
Mg  0.230  0.250  0.125
Co  0.000  0.000  0.000
Os  0.000  0.000  0.500

Computed properties:
N(E_F) = 15.242 states/eV/cell
E_tot = -4.6560 eV per atom